# 1
## Zn2HgGe2 (GGA-PBE)

Data for a relaxed structure of Zn2HgGe2.

Geometry as POSCAR:
```
Zn2HgGe2
1.0
-7.328 3.420 -1.818
-3.853 -6.046 4.158
0.133 1.541 2.363
Ge Zn Hg
4 4 2
direct
0.648 0.852 0.500
0.352 0.148 0.500
0.148 0.648 0.500
0.852 0.352 0.500
0.648 0.148 0.000
0.852 0.648 0.000
0.148 0.352 0.000
0.352 0.852 0.000
0.000 0.000 0.000
0.500 0.500 0.000
```

Results
- E (eV/atom) = -2.223
- energy of formation (eV/f.u.) = 0.969
- N(E_F) (states/eV per cell) = 2.428
- crystal system = tetragonal

# 2
## ZnHgGe (GGA-PBE)

Data for a relaxed structure of ZnHgGe.

Geometry as POSCAR:
```
ZnHgGe
1.0
4.175 -0.174 -0.005
0.409 5.128 0.144
0.045 0.300 6.075
Zn Ge Hg
2 2 2
direct
0.922 0.095 0.546
0.942 0.599 0.412
0.413 0.273 0.766
0.434 0.774 0.621
0.430 0.758 0.099
0.918 0.237 0.095
```

Results
- E (eV/atom) = -1.912
- energy of formation (eV/f.u.) = 0.458
- N(E_F) (states/eV per cell) = 1.529
- crystal system = triclinic

# 3
## ZnHgGe2 (GGA-PBE)

Data for a relaxed structure of ZnHgGe2.

Geometry as POSCAR:
```
ZnHgGe2
1.0
3.339 -1.048 3.366
0.098 2.476 4.176
-1.323 -2.166 4.139
Ge Zn Hg
2 1 1
direct
0.250 0.250 0.250
0.750 0.750 0.750
0.000 0.000 0.000
0.500 0.500 0.500
```

Results
- E (eV/atom) = -2.367
- energy of formation (eV/f.u.) = 1.344
- N(E_F) (states/eV per cell) = 1.045
- crystal system = cubic

# 4
## ZnHgGe3 (GGA-PBE)

Data for a relaxed structure of ZnHgGe3.

Geometry as POSCAR:
```
ZnHgGe3
1.0
4.900 0.000 0.000
0.000 4.900 0.000
0.000 0.000 4.900
Ge Zn Hg
3 1 1
direct
0.000 0.500 0.000
0.500 0.000 0.000
0.000 0.000 0.500
0.000 0.000 0.000
0.500 0.500 0.500
```

Results
- E (eV/atom) = -2.531
- energy of formation (eV/f.u.) = 2.774
- N(E_F) (states/eV per cell) = 1.009
- crystal system = cubic

# 5
## ZnHgGe (GGA-PBE)

Data for a relaxed structure of ZnHgGe.

Geometry as POSCAR:
```
ZnHgGe
1.0
-3.604 1.194 0.339
-0.791 -3.011 2.200
4.033 4.089 7.046
Zn Hg Ge
2 2 2
direct
0.629 0.250 0.257
0.371 0.750 0.743
0.070 0.750 0.141
0.930 0.250 0.859
0.247 0.250 0.495
0.753 0.750 0.505
```

Results
- E (eV/atom) = -1.858
- energy of formation (eV/f.u.) = 0.618
- N(E_F) (states/eV per cell) = 1.449
- crystal system = orthorhombic

# 6
## Zn3HgGe (GGA-PBE)

Data for a relaxed structure of Zn3HgGe.

Geometry as POSCAR:
```
Zn3HgGe
1.0
4.976 0.000 0.000
0.000 4.976 0.000
0.000 0.000 4.976
Ge Zn Hg
1 3 1
direct
0.500 0.500 0.500
0.000 0.500 0.000
0.000 0.000 0.500
0.500 0.000 0.000
0.000 0.000 0.000
```

Results
- E (eV/atom) = -1.077
- energy of formation (eV/f.u.) = 3.358
- N(E_F) (states/eV per cell) = 2.720
- crystal system = cubic

# 7
## ZnHg2Ge (GGA-PBE)

Data for a relaxed structure of ZnHg2Ge.

Geometry as POSCAR:
```
ZnHg2Ge
1.0
-1.611 2.568 0.556
-3.081 -0.073 -0.047
-1.668 -1.456 10.443
Hg Zn Ge
2 1 1
direct
0.089 0.089 0.732
0.911 0.911 0.268
0.500 0.500 0.500
0.000 0.000 0.000
```

Results
- E (eV/atom) = -1.420
- energy of formation (eV/f.u.) = 0.817
- N(E_F) (states/eV per cell) = 1.453
- crystal system = trigonal

# 8
## Zn3HgGe (GGA-PBE)

Data for a relaxed structure of Zn3HgGe.

Geometry as POSCAR:
```
Zn3HgGe
1.0
4.948 0.000 0.000
0.000 4.948 0.000
0.000 0.000 4.948
Hg Zn Ge
1 3 1
direct
0.500 0.500 0.500
0.000 0.000 0.500
0.500 0.000 0.000
0.000 0.500 0.000
0.000 0.000 0.000
```

Results
- E (eV/atom) = -1.422
- energy of formation (eV/f.u.) = 1.633
- N(E_F) (states/eV per cell) = 2.152
- crystal system = cubic